First-principles (GGA-PBE) data for an optimized crystal structure of Tl3CdTc, as listed in Alexandria via LeMat-Bulk.

- relative energy among the computed polymorphs (meV/atom) = 0
- ΔH_f (0 K) (eV per atom) = 0.464

a b c (Å): 5.364 5.364 5.364
angles (deg): 90.00 90.00 90.00
Positions (direct):
Tl (0.000, 0.000, 0.500)
Tl (0.000, 0.500, 0.000)
Tl (0.500, 0.000, 0.000)
Cd (0.500, 0.500, 0.500)
Tc (0.000, 0.000, 0.000)

First-principles (GGA-PBE) data for an optimized crystal structure of TlCdTc2, as listed in Alexandria via LeMat-Bulk.

- relative energy among the computed polymorphs (meV/atom) = 545
- ΔH_f (0 K) (eV per atom) = 0.784

a b c (Å): 2.884 2.884 9.509
angles (deg): 90.00 90.00 114.01
Positions (direct):
Tl (0.000, 0.000, 0.000)
Cd (0.000, 0.000, 0.500)
Tc (0.500, 0.500, 0.250)
Tc (0.500, 0.500, 0.750)

First-principles (GGA-PBE) data for an optimized crystal structure of TlCd2Tc, as listed in Alexandria via LeMat-Bulk.

- relative energy among the computed polymorphs (meV/atom) = 134
- ΔH_f (0 K) (eV per atom) = 0.518

a b c (Å): 3.076 3.076 10.294
angles (deg): 90.00 90.00 119.11
Positions (direct):
Tl (0.000, 0.000, 0.000)
Cd (0.000, 0.000, 0.540)
Cd (0.500, 0.500, 0.282)
Tc (0.500, 0.500, 0.766)

First-principles (GGA-PBE) data for an optimized crystal structure of TlCdTc2, as listed in Alexandria via LeMat-Bulk.

- relative energy among the computed polymorphs (meV/atom) = 536
- ΔH_f (0 K) (eV per atom) = 0.776

a b c (Å): 5.128 5.128 5.128
angles (deg): 132.07 132.07 70.12
Positions (direct):
Tl (0.000, 0.000, 0.000)
Cd (0.500, 0.500, 0.000)
Tc (0.250, 0.750, 0.500)
Tc (0.750, 0.250, 0.500)

First-principles (GGA-PBE) data for an optimized crystal structure of TlCd2Tc, as listed in Alexandria via LeMat-Bulk.

- relative energy among the computed polymorphs (meV/atom) = 21
- ΔH_f (0 K) (eV per atom) = 0.405

a b c (Å): 3.054 3.054 9.420
angles (deg): 90.00 90.00 90.00
Positions (direct):
Tl (0.000, 0.000, 0.000)
Cd (0.500, 0.500, 0.296)
Cd (0.500, 0.500, 0.704)
Tc (0.000, 0.000, 0.500)

First-principles (GGA-PBE) data for an optimized crystal structure of TlCd2Tc, as listed in Alexandria via LeMat-Bulk.

- relative energy among the computed polymorphs (meV/atom) = 290
- ΔH_f (0 K) (eV per atom) = 0.674

a b c (Å): 10.936 10.936 10.936
angles (deg): 158.36 158.36 30.79
Positions (direct):
Tl (0.000, 0.000, 0.000)
Tl (0.750, 0.250, 0.500)
Cd (0.141, 0.625, 0.016)
Cd (0.375, 0.391, 0.516)
Cd (0.609, 0.125, 0.984)
Cd (0.875, 0.859, 0.484)
Tc (0.250, 0.750, 0.500)
Tc (0.500, 0.500, 0.000)

First-principles (GGA-PBE) data for an optimized crystal structure of TlCdTc2, as listed in Alexandria via LeMat-Bulk.

- relative energy among the computed polymorphs (meV/atom) = 494
- ΔH_f (0 K) (eV per atom) = 0.733

a b c (Å): 9.507 9.507 9.507
angles (deg): 18.01 18.01 18.01
Positions (direct):
Tl (0.000, 0.000, 0.000)
Cd (0.500, 0.500, 0.500)
Tc (0.250, 0.250, 0.250)
Tc (0.750, 0.750, 0.750)

First-principles (GGA-PBE) data for an optimized crystal structure of Tl2VCdTc, as listed in Alexandria via LeMat-Bulk.

- ΔH_f (0 K) (eV per atom) = 1.862

a b c (Å): 5.329 5.329 5.135
angles (deg): 90.00 90.00 90.00
Positions (direct):
Tl (0.000, 0.500, 0.000)
Tl (0.500, 0.000, 0.000)
V (0.000, 0.000, 0.500)
Cd (0.000, 0.000, 0.000)
Tc (0.500, 0.500, 0.500)

First-principles (GGA-PBE) data for an optimized crystal structure of Tl2CdTcW, as listed in Alexandria via LeMat-Bulk.

- ΔH_f (0 K) (eV per atom) = 1.751

a b c (Å): 5.305 5.305 5.293
angles (deg): 90.00 90.00 90.00
Positions (direct):
Tl (0.000, 0.500, 0.000)
Tl (0.500, 0.000, 0.000)
Cd (0.000, 0.000, 0.500)
Tc (0.500, 0.500, 0.500)
W (0.000, 0.000, 0.000)

First-principles (GGA-PBE) data for an optimized crystal structure of Zr2TlCdTc, as listed in Alexandria via LeMat-Bulk.

- ΔH_f (0 K) (eV per atom) = 1.612

a b c (Å): 5.267 5.267 5.011
angles (deg): 90.00 90.00 90.00
Positions (direct):
Zr (0.000, 0.500, 0.000)
Zr (0.500, 0.000, 0.000)
Tl (0.000, 0.000, 0.500)
Cd (0.000, 0.000, 0.000)
Tc (0.500, 0.500, 0.500)

First-principles (GGA-PBE) data for an optimized crystal structure of Tm4CdTc, as listed in Alexandria via LeMat-Bulk.

- relative energy among the computed polymorphs (meV/atom) = 0
- ΔH_f (0 K) (eV per atom) = -0.208

a b c (Å): 7.610 7.610 6.176
angles (deg): 99.37 99.37 111.55
Positions (direct):
Tm (0.065, 0.725, 0.954)
Tm (0.197, 0.359, 0.607)
Tm (0.275, 0.935, 0.546)
Tm (0.359, 0.197, 0.107)
Tm (0.641, 0.803, 0.893)
Tm (0.725, 0.065, 0.454)
Tm (0.803, 0.641, 0.393)
Tm (0.935, 0.275, 0.046)
Cd (0.374, 0.626, 0.250)
Cd (0.626, 0.374, 0.750)
Tc (0.001, 0.999, 0.750)
Tc (0.999, 0.001, 0.250)

First-principles (GGA-PBE) data for an optimized crystal structure of Tm6Cd2Tc, as listed in Alexandria via LeMat-Bulk.

- relative energy among the computed polymorphs (meV/atom) = 225
- ΔH_f (0 K) (eV per atom) = 0.053

a b c (Å): 8.518 8.518 8.518
angles (deg): 145.44 130.95 61.38
Positions (direct):
Tm (0.086, 0.345, 0.742)
Tm (0.227, 0.000, 0.227)
Tm (0.397, 0.655, 0.742)
Tm (0.603, 0.345, 0.258)
Tm (0.773, 0.000, 0.773)
Tm (0.914, 0.655, 0.258)
Cd (0.334, 0.834, 0.500)
Cd (0.666, 0.166, 0.500)
Tc (0.000, 0.500, 0.500)

- Among the records above, which one has the highest ΔH_f (0 K)?
  Tl2VCdTc